[1]
A geometry-optimized BaAlAg2 structure, computed with PBE.

Summary:
* energy of formation from the pure elements: 4 meV per atom
* volume: 24.3 Å³/atom
* SG: Pmmm
* M_tot: 0.000 μB/atom
* density of states at the Fermi level: 2.6 states/eV/cell

Lattice parameters (Å, degrees): 3.420 3.634 7.835 90.00 90.00 90.00
Atoms (fractional coordinates):
1 Ag 0.000 0.000 0.068
2 Ag 0.000 0.000 0.432
3 Al 0.500 0.500 0.250
4 Ba 0.500 0.500 0.750

---

[2]
A geometry-optimized BaAlAg2 structure, computed with PBE.

Summary:
* energy of formation from the pure elements: 126 meV per atom
* volume: 26.9 Å³/atom
* SG: Cmmm
* M_tot: 0.000 μB/atom
* density of states at the Fermi level: 1.8 states/eV/cell

Lattice parameters (Å, degrees): 5.074 5.074 4.174 90.00 90.00 89.91
Atoms (fractional coordinates):
1 Ag 0.000 0.000 0.000
2 Ag 0.500 0.500 0.000
3 Al 0.500 0.000 0.500
4 Ba 0.000 0.500 0.500

---

[3]
A geometry-optimized Ba3Al4Ag4 structure, computed with PBE.

Summary:
* energy of formation from the pure elements: -215 meV per atom
* volume: 26.7 Å³/atom
* SG: I-43m
* M_tot: 0.000 μB/atom
* density of states at the Fermi level: 13.0 states/eV/cell

Lattice parameters (Å, degrees): 7.255 7.255 7.255 109.47 109.47 109.47
Atoms (fractional coordinates):
1 Al 0.752 0.752 0.752
2 Al 0.000 0.248 0.000
3 Al 0.000 0.000 0.248
4 Al 0.248 0.000 0.000
5 Ba 0.500 0.500 0.000
6 Ba 0.000 0.500 0.500
7 Ba 0.500 0.000 0.500
8 Ag 0.000 0.614 0.000
9 Ag 0.000 0.000 0.614
10 Ag 0.386 0.386 0.386
11 Ag 0.614 0.000 0.000